Record 1
# Ag3SbAu

A relaxed structure of Ag3SbAu (PBE, Alexandria).

Values from the calculation:
formation energy (no corrections) = 0.34 eV/f.u.
spin magnetization = 0.0 μB per cell

Cell and atoms, written as CIF:
```
data_Ag3SbAu
_chemical_formula_sum 'Ag12 Sb4 Au4'
_space_group_name_H-M_alt 'P n m a'
_space_group_IT_number 62
_cell_length_a 9.581
_cell_length_b 3.114
_cell_length_c 13.629
_cell_angle_alpha 90.00
_cell_angle_beta 90.00
_cell_angle_gamma 90.00
loop_
_space_group_symop_operation_xyz
'x,y,z'
'-x,-y,-z'
'-x+1/2,-y,z+1/2'
'x+1/2,y,-z+1/2'
'x+1/2,-y+1/2,-z+1/2'
'-x+1/2,y+1/2,z+1/2'
'-x,y+1/2,-z'
'x,-y+1/2,z'
loop_
_atom_site_label
_atom_site_fract_x
_atom_site_fract_y
_atom_site_fract_z
Ag1 0.062 0.250 0.238
Ag2 0.067 0.750 0.422
Ag3 0.190 0.250 0.796
Sb1 0.150 0.750 0.978
Au1 0.186 0.750 0.621
```

***

Record 2
# AgSb2Au

A relaxed structure of AgSb2Au (PBE, Alexandria).

Values from the calculation:
formation energy (no corrections) = 0.58 eV/f.u.
spin magnetization = 0.0 μB per cell

Cell and atoms, written as CIF:
```
data_AgSb2Au
_chemical_formula_sum 'Ag2 Sb4 Au2'
_space_group_name_H-M_alt 'I -4 m 2'
_space_group_IT_number 119
_space_group_name_Hall 'I -4 -2'
_cell_length_a 4.387
_cell_length_b 4.387
_cell_length_c 9.454
_cell_angle_alpha 90.00
_cell_angle_beta 90.00
_cell_angle_gamma 90.00
loop_
_atom_site_label
_atom_site_fract_x
_atom_site_fract_y
_atom_site_fract_z
Ag1 0.000 0.000 0.000
Sb1 0.000 0.000 0.500
Sb2 0.000 0.500 0.250
Au1 0.000 0.500 0.750
```

***

Record 3
# AgSb2Au

A relaxed structure of AgSb2Au (PBE, Alexandria).

Values from the calculation:
formation energy (no corrections) = 0.22 eV/f.u.
spin magnetization = 0.0 μB per cell

Cell and atoms, written as CIF:
```
data_AgSb2Au
_chemical_formula_sum 'Ag2 Sb4 Au2'
_space_group_name_H-M_alt 'C 1 2/m 1'
_space_group_IT_number 12
_cell_length_a 7.034
_cell_length_b 4.148
_cell_length_c 7.062
_cell_angle_alpha 90.00
_cell_angle_beta 110.49
_cell_angle_gamma 90.00
loop_
_space_group_symop_operation_xyz
'x,y,z'
'-x,-y,-z'
'-x,y,-z'
'x,-y,z'
'x+1/2,y+1/2,z'
'-x+1/2,-y+1/2,-z'
'-x+1/2,y+1/2,-z'
'x+1/2,-y+1/2,z'
loop_
_atom_site_label
_atom_site_fract_x
_atom_site_fract_y
_atom_site_fract_z
Ag1 0.000 0.000 0.000
Sb1 0.248 0.000 0.736
Au1 0.000 0.500 0.500
```

***

Record 4
# AgSb2Au

A relaxed structure of AgSb2Au (PBE, Alexandria).

Values from the calculation:
formation energy (no corrections) = 0.84 eV/f.u.
spin magnetization = 0.0 μB per cell

Cell and atoms, written as CIF:
```
data_AgSb2Au
_chemical_formula_sum 'Ag4 Sb8 Au4'
_space_group_name_H-M_alt 'F -4 3 m'
_space_group_IT_number 216
_space_group_name_Hall 'F -4 2 3'
_cell_length_a 7.184
_cell_length_b 7.184
_cell_length_c 7.184
_cell_angle_alpha 90.00
_cell_angle_beta 90.00
_cell_angle_gamma 90.00
loop_
_atom_site_label
_atom_site_fract_x
_atom_site_fract_y
_atom_site_fract_z
Ag1 0.000 0.000 0.000
Sb1 0.000 0.000 0.500
Sb2 0.250 0.250 0.250
Au1 0.250 0.250 0.750
```

***

Record 5
# AgSb2Au2

A relaxed structure of AgSb2Au2 (PBE, Alexandria).

Values from the calculation:
formation energy (no corrections) = 1.33 eV/f.u.
spin magnetization = 0.0 μB per cell

Cell and atoms, written as CIF:
```
data_AgSb2Au2
_chemical_formula_sum 'Ag2 Sb4 Au4'
_space_group_name_H-M_alt 'I 4/m m m'
_space_group_IT_number 139
_space_group_name_Hall '-I 4 2'
_cell_length_a 4.369
_cell_length_b 4.369
_cell_length_c 12.959
_cell_angle_alpha 90.00
_cell_angle_beta 90.00
_cell_angle_gamma 90.00
loop_
_atom_site_label
_atom_site_fract_x
_atom_site_fract_y
_atom_site_fract_z
Ag1 0.000 0.000 0.000
Sb1 0.000 0.500 0.250
Au1 0.000 0.000 0.399
```

***

Record 6
# AgSbAu2

A relaxed structure of AgSbAu2 (PBE, Alexandria).

Values from the calculation:
formation energy (no corrections) = 0.36 eV/f.u.
spin magnetization = 0.0 μB per cell

Cell and atoms, written as CIF:
```
data_AgSbAu2
_chemical_formula_sum 'Ag1 Sb1 Au2'
_space_group_name_H-M_alt 'P 4 m m'
_space_group_IT_number 99
_cell_length_a 3.084
_cell_length_b 3.084
_cell_length_c 8.544
_cell_angle_alpha 90.00
_cell_angle_beta 90.00
_cell_angle_gamma 90.00
loop_
_space_group_symop_operation_xyz
'x,y,z'
'-y,x,z'
'-x,-y,z'
'y,-x,z'
'-x,y,z'
'y,x,z'
'x,-y,z'
'-y,-x,z'
loop_
_atom_site_label
_atom_site_fract_x
_atom_site_fract_y
_atom_site_fract_z
Ag1 0.000 0.000 0.000
Sb1 0.500 0.500 0.728
Au1 0.000 0.000 0.460
Au2 0.500 0.500 0.228
```

***

Record 7
# Ag3SbAu12

A relaxed structure of Ag3SbAu12 (PBE, Alexandria).

Values from the calculation:
formation energy (no corrections) = -0.11 eV/f.u.
spin magnetization = 0.0 μB per cell

Cell and atoms, written as CIF:
```
data_Ag3SbAu12
_chemical_formula_sum 'Ag3 Sb1 Au12'
_space_group_name_H-M_alt 'P 4/m m m'
_space_group_IT_number 123
_space_group_name_Hall '-P 4 2'
_cell_length_a 4.266
_cell_length_b 4.266
_cell_length_c 16.233
_cell_angle_alpha 90.00
_cell_angle_beta 90.00
_cell_angle_gamma 90.00
loop_
_atom_site_label
_atom_site_fract_x
_atom_site_fract_y
_atom_site_fract_z
Ag1 0.000 0.000 0.000
Ag2 0.000 0.000 0.244
Sb1 0.000 0.000 0.500
Au1 0.000 0.500 0.122
Au2 0.000 0.500 0.368
Au3 0.500 0.500 0.000
Au4 0.500 0.500 0.244
Au5 0.500 0.500 0.500
```

***

Record 8
# AgSbAu2

A relaxed structure of AgSbAu2 (PBE, Alexandria).

Values from the calculation:
formation energy (no corrections) = 0.13 eV/f.u.
spin magnetization = 0.0 μB per cell

Cell and atoms, written as CIF:
```
data_AgSbAu2
_chemical_formula_sum 'Ag2 Sb2 Au4'
_space_group_name_H-M_alt 'I m m 2'
_space_group_IT_number 44
_cell_length_a 4.253
_cell_length_b 4.260
_cell_length_c 8.782
_cell_angle_alpha 90.00
_cell_angle_beta 90.00
_cell_angle_gamma 90.00
loop_
_space_group_symop_operation_xyz
'x,y,z'
'-x,-y,z'
'-x,y,z'
'x,-y,z'
'x+1/2,y+1/2,z+1/2'
'-x+1/2,-y+1/2,z+1/2'
'-x+1/2,y+1/2,z+1/2'
'x+1/2,-y+1/2,z+1/2'
loop_
_atom_site_label
_atom_site_fract_x
_atom_site_fract_y
_atom_site_fract_z
Ag1 0.000 0.000 0.000
Sb1 0.000 0.500 0.250
Au1 0.000 0.000 0.500
Au2 0.000 0.500 0.750
```